[1]
Material: ErPuMg
Method: DFT, GGA-PBE
State: relaxed

## Properties
Its space group is I4mm, No. 107. The calculated formation energy comes out at 0.110 eV/atom. For the energy above the most stable polymorph in this dataset, the calculation gives 0 meV per atom. For the total energy, the calculation gives -6.720 eV per atom.

Cell and atoms, written as POSCAR:
```
ErPuMg
1.0
-1.6609 1.6609 7.3741
1.6609 -1.6609 7.3741
1.6609 1.6609 -7.3741
Er Pu Mg
1 1 1
direct
0.0000 0.0000 0.0000
0.6719 0.6719 0.0000
0.3366 0.3366 0.0000
```

[2]
Material: NiOs2SBr
Method: DFT, GGA-PBE
State: relaxed

## Properties
Its space group is P4/mmm, No. 123. The uncorrected formation energy is 1.54 eV/atom. For the total energy, the calculation gives -5.265 eV per atom.

Cell and atoms, written as POSCAR:
```
NiOs2SBr
1.0
4.2480 0.0000 0.0000
0.0000 4.2480 0.0000
0.0000 0.0000 6.2415
Ni Os S Br
1 2 1 1
direct
0.0000 0.0000 0.0000
0.0000 0.5000 0.5000
0.5000 0.0000 0.5000
0.5000 0.5000 0.5000
0.5000 0.5000 0.0000
```

[3]
Material: TbSn2
Method: DFT, GGA-PBE
State: relaxed

## Properties
Its space group is Fd-3m, No. 227. The calculated formation energy comes out at -0.240 eV/atom. For the total energy, the calculation gives -4.452 eV per atom.

Cell and atoms, written as POSCAR:
```
TbSn2
1.0
0.0000 4.3596 4.3596
4.3596 0.0000 4.3596
4.3596 4.3596 0.0000
Tb Sn
2 4
direct
0.1250 0.1250 0.1250
0.8750 0.8750 0.8750
0.0000 0.5000 0.5000
0.5000 0.0000 0.5000
0.5000 0.5000 0.0000
0.5000 0.5000 0.5000
```

[4]
Material: OsSe2IBr
Method: DFT, GGA-PBE
State: relaxed

## Properties
Its space group is P4/mmm, No. 123. The uncorrected formation energy is 0.48 eV/atom. For the energy above the most stable polymorph in this dataset, the calculation gives 0 meV per atom. For the total energy, the calculation gives -3.800 eV per atom.

Cell and atoms, written as POSCAR:
```
OsSe2IBr
1.0
4.8946 0.0000 0.0000
0.0000 4.8946 0.0000
0.0000 0.0000 5.2224
Os Se I Br
1 2 1 1
direct
0.0000 0.0000 0.0000
0.0000 0.5000 0.0000
0.5000 0.0000 0.0000
0.5000 0.5000 0.5000
0.0000 0.0000 0.5000
```

[5]
Material: K3Pa3AuSe8
Method: DFT, GGA-PBE
State: relaxed

## Properties
Its space group is C2/m, No. 12. The uncorrected formation energy is -1.19 eV/atom. For the total energy, the calculation gives -5.382 eV per atom.

Cell and atoms, written as POSCAR:
```
K3Pa3AuSe8
1.0
6.8884 -4.4112 0.0000
6.8884 4.4112 0.0000
-4.2555 0.0000 7.7261
K Pa Au Se
3 3 1 8
direct
0.0000 0.0000 0.0000
0.0000 0.5000 0.0000
0.5000 0.0000 0.0000
0.0000 0.5000 0.5000
0.5000 0.0000 0.5000
0.5000 0.5000 0.5000
0.0000 0.0000 0.5000
0.2104 0.2104 0.6833
0.2609 0.2609 0.2907
0.2635 0.6880 0.7221
0.3120 0.7365 0.2779
0.6880 0.2635 0.7221
0.7365 0.3120 0.2779
0.7391 0.7391 0.7093
0.7896 0.7896 0.3167
```

[6]
Material: La3AlPd12
Method: DFT, GGA-PBE
State: relaxed

## Properties
Its space group is P4/mmm, No. 123. The calculated formation energy comes out at -0.740 eV/atom. For the total energy, the calculation gives -5.792 eV per atom.

Cell and atoms, written as POSCAR:
```
La3AlPd12
1.0
4.1990 0.0000 0.0000
0.0000 4.1990 0.0000
0.0000 0.0000 16.2973
La Al Pd
3 1 12
direct
0.0000 0.0000 0.0000
0.0000 0.0000 0.2619
0.0000 0.0000 0.7381
0.0000 0.0000 0.5000
0.0000 0.5000 0.1306
0.0000 0.5000 0.3942
0.0000 0.5000 0.6058
0.0000 0.5000 0.8694
0.5000 0.0000 0.1306
0.5000 0.0000 0.3942
0.5000 0.0000 0.6058
0.5000 0.0000 0.8694
0.5000 0.5000 0.0000
0.5000 0.5000 0.2621
0.5000 0.5000 0.5000
0.5000 0.5000 0.7379
```

[7]
Material: ZrBi2O
Method: DFT, GGA-PBE
State: relaxed

## Properties
Its space group is I-42d, No. 122. The uncorrected formation energy is -0.61 eV/atom. For the total energy, the calculation gives -5.925 eV per atom.

Cell and atoms, written as POSCAR:
```
ZrBi2O
1.0
-5.0182 5.0182 2.0568
5.0182 -5.0182 2.0568
5.0182 5.0182 -2.0568
Zr Bi O
2 4 2
direct
0.0000 0.0000 0.0000
0.7500 0.2500 0.5000
0.2456 0.6250 0.1206
0.3750 0.4956 0.6206
0.5044 0.1250 0.8794
0.8750 0.7544 0.3794
0.2500 0.7500 0.5000
0.5000 0.5000 0.0000
```

[8]
Material: CaZnCl
Method: DFT, GGA-PBE
State: relaxed

## Properties
Its space group is P-6m2, No. 187. The uncorrected formation energy is -0.79 eV/atom. For the energy above the most stable polymorph in this dataset, the calculation gives 123 meV per atom. For the total energy, the calculation gives -2.499 eV per atom.

Cell and atoms, written as POSCAR:
```
CaZnCl
1.0
4.7524 0.0000 0.0000
-2.3762 4.1157 0.0000
0.0000 0.0000 4.3664
Ca Zn Cl
1 1 1
direct
0.0000 0.0000 0.0000
0.3333 0.6667 0.5000
0.6667 0.3333 0.0000
```

[9]
Material: RbHfS4
Method: DFT, GGA-PBE
State: relaxed

## Properties
Its space group is C2/c, No. 15. The uncorrected formation energy is -0.94 eV/atom. For the total energy, the calculation gives -5.514 eV per atom.

Cell and atoms, written as POSCAR:
```
RbHfS4
1.0
5.2407 -6.2300 0.0000
5.2407 6.2300 0.0000
-3.6549 0.0000 5.5012
Rb Hf S
2 2 8
direct
0.1448 0.8552 0.7500
0.8552 0.1448 0.2500
0.4987 0.5013 0.7500
0.5013 0.4987 0.2500
0.2295 0.4966 0.3726
0.2432 0.3017 0.8032
0.3017 0.2432 0.3032
0.4966 0.2295 0.8726
0.5034 0.7705 0.1274
0.6983 0.7568 0.6968
0.7568 0.6983 0.1968
0.7705 0.5034 0.6274
```

[10]
Material: ReIrNO2
Method: DFT, GGA-PBE
State: relaxed

## Properties
Its space group is P4/mmm, No. 123. The uncorrected formation energy is 1.09 eV/atom. For the total energy, the calculation gives -6.816 eV per atom.

Cell and atoms, written as POSCAR:
```
ReIrNO2
1.0
4.0953 0.0000 0.0000
0.0000 4.0953 0.0000
0.0000 0.0000 3.7239
Re Ir N O
1 1 1 2
direct
0.0000 0.0000 0.0000
0.5000 0.5000 0.5000
0.5000 0.5000 0.0000
0.0000 0.5000 0.5000
0.5000 0.0000 0.5000
```

[11]
Material: HfTiTe
Method: DFT, GGA-PBE
State: relaxed

## Properties
Its space group is P-6m2, No. 187. The uncorrected formation energy is 0.00 eV/atom. For the energy above the most stable polymorph in this dataset, the calculation gives 403 meV per atom. For the total energy, the calculation gives -6.997 eV per atom.

Cell and atoms, written as POSCAR:
```
HfTiTe
1.0
4.6918 0.0000 0.0000
-2.3459 4.0633 0.0000
0.0000 0.0000 3.3605
Hf Ti Te
1 1 1
direct
0.0000 0.0000 0.0000
0.3333 0.6667 0.5000
0.6667 0.3333 0.5000
```

[12]
Material: NaTl5Sb2
Method: DFT, GGA-PBE
State: relaxed

## Properties
Its space group is Pbam, No. 55. The uncorrected formation energy is -0.06 eV/atom. For the energy above the most stable polymorph in this dataset, the calculation gives 0 meV per atom. For the total energy, the calculation gives -2.734 eV per atom.

Cell and atoms, written as POSCAR:
```
NaTl5Sb2
1.0
6.9940 0.0000 0.0000
0.0000 13.9566 0.0000
0.0000 0.0000 4.8765
Na Tl Sb
2 10 4
direct
0.0000 0.0000 0.0000
0.5000 0.5000 0.0000
0.0000 0.5000 0.0000
0.0060 0.2490 0.0000
0.2463 0.8753 0.5000
0.2537 0.3753 0.5000
0.4940 0.7490 0.0000
0.5000 0.0000 0.0000
0.5060 0.2510 0.0000
0.7463 0.6247 0.5000
0.7537 0.1247 0.5000
0.9940 0.7510 0.0000
0.2475 0.6264 0.5000
0.2525 0.1264 0.5000
0.7475 0.8736 0.5000
0.7525 0.3736 0.5000
```

[13]
Material: Sr3PtC
Method: DFT, GGA-PBE
State: relaxed

## Properties
Its space group is Pm-3m, No. 221. The calculated formation energy comes out at 0.144 eV/atom. For the energy above the most stable polymorph in this dataset, the calculation gives 0 meV per atom. For the total energy, the calculation gives -3.918 eV per atom.

Cell and atoms, written as POSCAR:
```
Sr3PtC
1.0
5.2582 0.0000 0.0000
0.0000 5.2582 0.0000
0.0000 0.0000 5.2582
Sr Pt C
3 1 1
direct
0.0000 0.0000 0.5000
0.0000 0.5000 0.0000
0.5000 0.0000 0.0000
0.5000 0.5000 0.5000
0.0000 0.0000 0.0000
```

[14]
Material: PmZnO3
Method: DFT, GGA-PBE
State: relaxed

## Properties
Its space group is Pm-3m, No. 221. The uncorrected formation energy is -1.98 eV/atom. For the total energy, the calculation gives -6.163 eV per atom.

Cell and atoms, written as POSCAR:
```
PmZnO3
1.0
3.8825 0.0000 0.0000
0.0000 3.8825 0.0000
0.0000 0.0000 3.8825
Pm Zn O
1 1 3
direct
0.0000 0.0000 0.0000
0.5000 0.5000 0.5000
0.0000 0.5000 0.5000
0.5000 0.0000 0.5000
0.5000 0.5000 0.0000
```

[15]
Material: Be2NiMo
Method: DFT, GGA-PBE
State: relaxed

## Properties
Its space group is P4/mmm, No. 123. The calculated formation energy comes out at -0.039 eV/atom. For the energy above the most stable polymorph in this dataset, the calculation gives 184 meV per atom. For the total energy, the calculation gives -6.055 eV per atom.

Cell and atoms, written as POSCAR:
```
Be2NiMo
1.0
4.0963 0.0000 0.0000
0.0000 4.0963 0.0000
0.0000 0.0000 2.5644
Be Ni Mo
2 1 1
direct
0.0000 0.5000 0.0000
0.5000 0.0000 0.0000
0.0000 0.0000 0.5000
0.5000 0.5000 0.5000
```

[16]
Material: Ca2ReHAu
Method: DFT, GGA-PBE
State: relaxed

## Properties
Its space group is P4/mmm, No. 123. For the total energy, the calculation gives -4.209 eV per atom.

Cell and atoms, written as POSCAR:
```
Ca2ReHAu
1.0
5.6137 0.0000 0.0000
0.0000 5.6137 0.0000
0.0000 0.0000 3.3826
Ca Re H Au
2 1 1 1
direct
0.0000 0.5000 0.0000
0.5000 0.0000 0.0000
0.0000 0.0000 0.0000
0.0000 0.0000 0.5000
0.5000 0.5000 0.5000
```

[17]
Material: CoSb2W
Method: DFT, GGA-PBE
State: relaxed

## Properties
Its space group is P4/mmm, No. 123. The uncorrected formation energy is 0.50 eV/atom. For the energy above the most stable polymorph in this dataset, the calculation gives 256 meV per atom. For the total energy, the calculation gives -6.576 eV per atom.

Cell and atoms, written as POSCAR:
```
CoSb2W
1.0
4.5648 0.0000 0.0000
0.0000 4.5648 0.0000
0.0000 0.0000 3.3519
Co Sb W
1 2 1
direct
0.0000 0.0000 0.0000
0.0000 0.5000 0.5000
0.5000 0.0000 0.5000
0.5000 0.5000 0.0000
```

[18]
Material: Ti2AlP
Method: DFT, GGA-PBE
State: relaxed

## Properties
Its space group is R-3m, No. 166. The calculated formation energy comes out at -0.634 eV/atom. For the energy above the most stable polymorph in this dataset, the calculation gives 0 meV per atom. For the total energy, the calculation gives -6.869 eV per atom.

Cell and atoms, written as POSCAR:
```
Ti2AlP
1.0
1.6741 0.9666 6.9721
-1.6741 0.9666 6.9721
0.0000 -1.9331 6.9721
Ti Al P
2 1 1
direct
0.2343 0.2343 0.2343
0.7657 0.7657 0.7657
0.0000 0.0000 0.0000
0.5000 0.5000 0.5000
```

[19]
Material: Ca2CoP
Method: DFT, GGA-PBE
State: relaxed

## Properties
Its space group is Imm2, No. 44. The calculated formation energy comes out at -0.419 eV/atom. For the total energy, the calculation gives -4.548 eV per atom.

Cell and atoms, written as POSCAR:
```
Ca2CoP
1.0
-1.7826 2.1644 5.9808
1.7826 -2.1644 5.9808
1.7826 2.1644 -5.9808
Ca Co P
2 1 1
direct
0.0000 0.0000 0.0000
0.7425 0.2425 0.5000
0.4292 0.4292 0.0000
0.3239 0.8239 0.5000
```

[20]
Material: Pm6OsRu2
Method: DFT, GGA-PBE
State: relaxed

## Properties
Its space group is C2/m, No. 12. The calculated formation energy comes out at -0.093 eV/atom. For the total energy, the calculation gives -6.569 eV per atom.

Cell and atoms, written as POSCAR:
```
Pm6OsRu2
1.0
4.6953 -2.6921 0.0000
4.6953 2.6921 0.0000
-1.2783 0.0000 8.9021
Pm Os Ru
6 1 2
direct
0.0469 0.0469 0.3140
0.3206 0.3206 0.9060
0.3774 0.3774 0.3249
0.6226 0.6226 0.6751
0.6794 0.6794 0.0940
0.9531 0.9531 0.6860
0.0000 0.0000 0.0000
0.2776 0.2776 0.6048
0.7224 0.7224 0.3952
```